1.
Density functional theory data (GGA-PBE) for a relaxed structure of BaHgMo2.

The magnetic moment is 0.0 μB per formula unit. Its energy of formation is 0.428 eV/atom. The density of states at the Fermi level is 4.5 states/eV/f.u. The total energy is -22.18 eV/cell.

The space group is Pm (No. 6) and the conventional cell measures 3.370, 3.346 and 8.390 Å, with angles of 90.00, 92.11 and 90.00 degrees. Symmetry generates all atoms from Ba at (0.000, 0.000, 0.000), Hg at (0.484, 0.500, 0.685), Mo at (0.506, 0.500, 0.318) and Mo at (0.951, 0.000, 0.456).

***

2.
Density functional theory data (GGA-PBE) for a relaxed structure of PrZnGa.

The magnetic moment is 0.0 μB per formula unit. Its energy of formation is -0.536 eV/atom. The density of states at the Fermi level is 2.1 states/eV/f.u. The total energy is -21.37 eV/cell.

The space group is P6_3/mmc (No. 194) and the conventional cell measures 4.5035, 4.5035 and 7.7443 Å, with angles of 90.00, 90.00 and 120.00 degrees. Symmetry generates all atoms from Pr at (0.0000, 0.0000, 0.0000), Zn at (0.3333, 0.6667, 0.2500) and Ga at (0.3333, 0.6667, 0.7500).

***

3.
Density functional theory data (GGA-PBE) for a relaxed structure of LiMgZrTl.

The magnetic moment is 0.0 μB per formula unit. Its energy of formation is 0.021 eV/atom. The density of states at the Fermi level is 2.0 states/eV/f.u. The total energy is -57.35 eV/cell.

The space group is F-43m (No. 216) and the conventional cell measures 6.990, 6.990 and 6.990 Å, with angles of 90.00, 90.00 and 90.00 degrees. Symmetry generates all atoms from Li at (0.000, 0.000, 0.000), Mg at (0.250, 0.250, 0.750), Zr at (0.000, 0.000, 0.500) and Tl at (0.250, 0.250, 0.250).

***

Repeat the third record exactly.
Density functional theory data (GGA-PBE) for a relaxed structure of LiMgZrTl.

The magnetic moment is 0.0 μB per formula unit. Its energy of formation is 0.021 eV/atom. The density of states at the Fermi level is 2.0 states/eV/f.u. The total energy is -57.35 eV/cell.

The space group is F-43m (No. 216) and the conventional cell measures 6.990, 6.990 and 6.990 Å, with angles of 90.00, 90.00 and 90.00 degrees. Symmetry generates all atoms from Li at (0.000, 0.000, 0.000), Mg at (0.250, 0.250, 0.750), Zr at (0.000, 0.000, 0.500) and Tl at (0.250, 0.250, 0.250).